(1)
Entry from OQMD: crystalline BaCd2Te3 at its relaxed geometry (PBE).

It has space group Cmcm (No. 63), with a = 4.5373 Å, b = 15.1950 Å, c = 11.5643 Å, α = 90.00°, β = 90.00° and γ = 90.00°. The inequivalent atoms are Ba at (0.0000, 0.2407, 0.2500), Cd at (0.0000, 0.0000, 0.0000), Cd at (0.0000, 0.4686, 0.7500), Te at (0.0000, 0.0819, 0.7500) and Te at (0.0000, 0.3628, 0.5488).


(2)
Entry from OQMD: crystalline Sr2YMo at its relaxed geometry (PBE).

It has space group F-43m (No. 216), with a = 7.9612 Å, b = 7.9612 Å, c = 7.9612 Å, α = 90.00°, β = 90.00° and γ = 90.00°. The inequivalent atoms are Sr at (0.0000, 0.0000, 0.0000), Sr at (0.2500, 0.2500, 0.2500), Y at (0.0000, 0.0000, 0.5000) and Mo at (0.2500, 0.2500, 0.7500).


One value per record, in order, for E_tot: -2.969, -4.367 eV/atom.